(1)
DyZnIn2 (PBE, relaxed); N(E_F) = 1.6 states/eV per cell; formation enthalpy at 0 K = -212.1 meV/atom
1.0
2.276 1.314 5.361
-2.276 1.314 5.361
0.000 -2.628 5.361
Dy Zn In
1 1 2
Direct
0.000 0.000 0.000 Dy
0.500 0.500 0.500 Zn
0.226 0.226 0.226 In
0.774 0.774 0.774 In

***

(2)
DyZnIn (PBE, relaxed); N(E_F) = 1.6 states/eV per cell; formation enthalpy at 0 K = -422.5 meV/atom
1.0
4.686 0.000 0.000
-2.343 4.058 0.000
0.000 0.000 3.594
Dy Zn In
1 1 1
Direct
0.000 0.000 0.000 Dy
0.333 0.667 0.500 Zn
0.667 0.333 0.500 In

***

(3)
Dy6Zn5In (PBE, relaxed); N(E_F) = 14.0 states/eV per cell; formation enthalpy at 0 K = -357.6 meV/atom
1.0
-2.539 3.631 7.628
2.539 -3.631 7.628
2.539 3.631 -7.628
Dy Zn In
6 5 1
Direct
0.073 0.329 0.744 Dy
0.238 0.000 0.238 Dy
0.414 0.671 0.744 Dy
0.586 0.329 0.256 Dy
0.762 0.000 0.762 Dy
0.927 0.671 0.256 Dy
0.000 0.500 0.500 Zn
0.168 0.168 0.000 Zn
0.336 0.836 0.500 Zn
0.664 0.164 0.500 Zn
0.832 0.832 0.000 Zn
0.500 0.500 0.000 In

***

(4)
Dy6ZnIn3 (PBE, relaxed); N(E_F) = 20.4 states/eV per cell; formation enthalpy at 0 K = -336.0 meV/atom
1.0
9.215 0.000 0.000
0.000 5.268 0.000
-3.641 0.000 11.053
Dy Zn In
12 2 6
Direct
0.034 0.250 0.412 Dy
0.171 0.750 0.171 Dy
0.267 0.250 0.005 Dy
0.352 0.750 0.819 Dy
0.366 0.250 0.337 Dy
0.401 0.250 0.629 Dy
0.599 0.750 0.371 Dy
0.634 0.750 0.663 Dy
0.648 0.250 0.181 Dy
0.733 0.750 0.995 Dy
0.829 0.250 0.829 Dy
0.966 0.750 0.588 Dy
0.459 0.750 0.100 Zn
0.541 0.250 0.900 Zn
0.028 0.750 0.882 In
0.121 0.250 0.722 In
0.275 0.750 0.470 In
0.725 0.250 0.530 In
0.879 0.750 0.278 In
0.972 0.250 0.118 In

***

(5)
DyZn9In2 (PBE, relaxed); N(E_F) = 3.4 states/eV per cell; formation enthalpy at 0 K = -99.9 meV/atom
1.0
2.712 1.566 8.407
-2.712 1.566 8.407
0.000 -3.131 8.407
Dy Zn In
1 9 2
Direct
0.000 0.000 0.000 Dy
0.081 0.584 0.584 Zn
0.332 0.332 0.332 Zn
0.416 0.416 0.919 Zn
0.416 0.919 0.416 Zn
0.500 0.500 0.500 Zn
0.584 0.081 0.584 Zn
0.584 0.584 0.081 Zn
0.668 0.668 0.668 Zn
0.919 0.416 0.416 Zn
0.138 0.138 0.138 In
0.862 0.862 0.862 In

***

(6)
Dy2Zn3In (PBE, relaxed); energy above the lowest structure with this stoichiometry = 0.084 eV per atom; N(E_F) = 6.0 states/eV per cell; formation enthalpy at 0 K = -312.9 meV/atom
1.0
-1.834 2.286 7.967
1.834 -2.286 7.967
1.834 2.286 -7.967
Dy Zn In
2 3 1
Direct
0.000 0.000 0.000 Dy
0.778 0.278 0.500 Dy
0.184 0.684 0.500 Zn
0.337 0.837 0.500 Zn
0.435 0.435 0.000 Zn
0.601 0.601 0.000 In

***

Look up the N(E_F) of the fifth one.
3.4 states/eV per cell

***

Among the records above, which one has the highest formation enthalpy at 0 K?
DyZn9In2

***

Which value of formation enthalpy at 0 K does entry 4 give?
-336.0 meV/atom